[1]
Compound: Tb5Pt2
Source: Alexandria via LeMat-Bulk
Functional: PBE
Structure: relaxed

Cell: 6.607 7.094 8.871 Å, 83.87 68.18 90.00°
Sites, in units of the cell vectors:
Tb 0.018 0.074 0.189
Tb 0.207 0.426 0.811
Tb 0.213 0.689 0.440
Tb 0.347 0.188 0.440
Tb 0.436 0.750 0.000
Tb 0.564 0.250 0.000
Tb 0.653 0.812 0.560
Tb 0.787 0.311 0.560
Tb 0.793 0.574 0.189
Tb 0.982 0.926 0.811
Pt 0.181 0.429 0.223
Pt 0.404 0.071 0.777
Pt 0.596 0.929 0.223
Pt 0.819 0.571 0.777

Summary:
Volume   27.38 A^3/atom

[2]
Compound: TbPt6
Source: Alexandria via LeMat-Bulk
Functional: PBE
Structure: relaxed

Cell: 6.061 6.061 6.061 Å, 90.00 90.00 90.00°
Sites, in units of the cell vectors:
Tb 0.000 0.000 0.000
Pt 0.196 0.500 0.500
Pt 0.500 0.196 0.500
Pt 0.500 0.500 0.196
Pt 0.500 0.500 0.804
Pt 0.500 0.804 0.500
Pt 0.804 0.500 0.500

Summary:
Energy relative to the lowest polymorph listed for this composition   1597 meV/atom
Volume   31.81 A^3/atom

[3]
Compound: Tb4Pt
Source: Alexandria via LeMat-Bulk
Functional: PBE
Structure: relaxed

Cell: 5.499 5.499 5.499 Å, 90.00 90.00 90.00°
Sites, in units of the cell vectors:
Tb 0.000 0.000 0.000
Tb 0.000 0.500 0.500
Tb 0.500 0.000 0.500
Tb 0.500 0.500 0.000
Pt 0.500 0.500 0.500

Summary:
Energy relative to the lowest polymorph listed for this composition   160 meV/atom
Volume   33.25 A^3/atom

[4]
Compound: Tb3Pt2
Source: Alexandria via LeMat-Bulk
Functional: PBE
Structure: relaxed

Cell: 9.209 9.209 10.677 Å, 97.55 97.55 26.79°
Sites, in units of the cell vectors:
Tb 0.000 0.000 0.000
Tb 0.036 0.036 0.659
Tb 0.291 0.291 0.385
Tb 0.328 0.328 0.044
Tb 0.375 0.375 0.722
Tb 0.625 0.625 0.278
Tb 0.672 0.672 0.956
Tb 0.709 0.709 0.615
Tb 0.964 0.964 0.341
Pt 0.136 0.136 0.465
Pt 0.186 0.186 0.137
Pt 0.473 0.473 0.175
Pt 0.527 0.527 0.825
Pt 0.814 0.814 0.863
Pt 0.864 0.864 0.535

Summary:
Energy relative to the lowest polymorph listed for this composition   15 meV/atom
Volume   26.96 A^3/atom

[5]
Compound: TbPt6
Source: Alexandria via LeMat-Bulk
Functional: PBE
Structure: relaxed

Cell: 7.007 7.007 7.007 Å, 90.00 90.00 90.00°
Sites, in units of the cell vectors:
Tb 0.000 0.000 0.000
Tb 0.500 0.500 0.500
Pt 0.000 0.250 0.500
Pt 0.000 0.500 0.250
Pt 0.000 0.500 0.750
Pt 0.000 0.750 0.500
Pt 0.250 0.000 0.500
Pt 0.250 0.500 0.000
Pt 0.500 0.000 0.250
Pt 0.500 0.000 0.750
Pt 0.500 0.250 0.000
Pt 0.500 0.750 0.000
Pt 0.750 0.000 0.500
Pt 0.750 0.500 0.000

Summary:
Energy relative to the lowest polymorph listed for this composition   943 meV/atom
Volume   24.57 A^3/atom

[6]
Compound: Tb5Pt3
Source: Alexandria via LeMat-Bulk
Functional: PBE
Structure: relaxed

Cell: 11.076 11.076 6.505 Å, 90.00 90.00 90.00°
Sites, in units of the cell vectors:
Tb 0.043 0.160 0.122
Tb 0.043 0.340 0.622
Tb 0.160 0.043 0.622
Tb 0.160 0.457 0.122
Tb 0.250 0.750 0.000
Tb 0.250 0.750 0.500
Tb 0.340 0.043 0.122
Tb 0.340 0.457 0.622
Tb 0.457 0.160 0.622
Tb 0.457 0.340 0.122
Tb 0.543 0.660 0.878
Tb 0.543 0.840 0.378
Tb 0.660 0.543 0.378
Tb 0.660 0.957 0.878
Tb 0.750 0.250 0.000
Tb 0.750 0.250 0.500
Tb 0.840 0.543 0.878
Tb 0.840 0.957 0.378
Tb 0.957 0.660 0.378
Tb 0.957 0.840 0.878
Pt 0.096 0.596 0.750
Pt 0.096 0.904 0.250
Pt 0.250 0.250 0.382
Pt 0.250 0.250 0.882
Pt 0.404 0.596 0.250
Pt 0.404 0.904 0.750
Pt 0.596 0.096 0.250
Pt 0.596 0.404 0.750
Pt 0.750 0.750 0.118
Pt 0.750 0.750 0.618
Pt 0.904 0.096 0.750
Pt 0.904 0.404 0.250

Summary:
Energy relative to the lowest polymorph listed for this composition   0 meV/atom
Volume   24.94 A^3/atom

[7]
Compound: Tb3Pt
Source: Alexandria via LeMat-Bulk
Functional: PBE
Structure: relaxed

Cell: 3.700 11.023 5.289 Å, 90.00 90.00 90.00°
Sites, in units of the cell vectors:
Tb 0.000 0.000 0.000
Tb 0.000 0.200 0.500
Tb 0.000 0.800 0.500
Tb 0.500 0.300 0.000
Tb 0.500 0.500 0.500
Tb 0.500 0.700 0.000
Pt 0.000 0.500 0.999
Pt 0.500 0.000 0.499

Summary:
Volume   26.96 A^3/atom

[8]
Compound: Tb5Pt3
Source: Alexandria via LeMat-Bulk
Functional: PBE
Structure: relaxed

Cell: 8.483 8.483 6.231 Å, 90.00 90.00 120.00°
Sites, in units of the cell vectors:
Tb 0.000 0.246 0.250
Tb 0.000 0.754 0.750
Tb 0.246 0.000 0.250
Tb 0.246 0.246 0.750
Tb 0.333 0.667 0.000
Tb 0.333 0.667 0.500
Tb 0.667 0.333 0.000
Tb 0.667 0.333 0.500
Tb 0.754 0.000 0.750
Tb 0.754 0.754 0.250
Pt 0.000 0.394 0.750
Pt 0.000 0.606 0.250
Pt 0.394 0.000 0.750
Pt 0.394 0.394 0.250
Pt 0.606 0.000 0.250
Pt 0.606 0.606 0.750

Summary:
Energy relative to the lowest polymorph listed for this composition   29 meV/atom
Volume   24.27 A^3/atom

[9]
Compound: Tb2Pt3
Source: Alexandria via LeMat-Bulk
Functional: PBE
Structure: relaxed

Cell: 7.864 5.646 8.756 Å, 61.82 39.26 78.93°
Sites, in units of the cell vectors:
Tb 0.228 0.772 0.374
Tb 0.624 0.876 0.478
Tb 0.772 0.228 0.626
Tb 0.876 0.624 0.022
Pt 0.179 0.827 0.062
Pt 0.188 0.318 0.071
Pt 0.318 0.188 0.423
Pt 0.370 0.370 0.630
Pt 0.620 0.620 0.880
Pt 0.827 0.179 0.932

Summary:
Volume   20.61 A^3/atom

[10]
Compound: TbPt3
Source: Alexandria via LeMat-Bulk
Functional: PBE
Structure: relaxed

Cell: 4.120 4.120 8.459 Å, 90.00 90.00 90.00°
Sites, in units of the cell vectors:
Tb 0.000 0.000 0.000
Tb 0.500 0.500 0.500
Pt 0.000 0.000 0.500
Pt 0.000 0.500 0.250
Pt 0.000 0.500 0.750
Pt 0.500 0.000 0.250
Pt 0.500 0.000 0.750
Pt 0.500 0.500 0.000

Summary:
Volume   17.94 A^3/atom

[11]
Compound: Tb3Pt
Source: Alexandria via LeMat-Bulk
Functional: PBE
Structure: relaxed

Cell: 3.622 3.667 9.104 Å, 90.00 90.00 90.00°
Sites, in units of the cell vectors:
Tb 0.000 0.000 0.000
Tb 0.000 0.500 0.345
Tb 0.500 0.500 0.721
Pt 0.500 0.000 0.480

Summary:
Volume   30.23 A^3/atom

[12]
Compound: TbPt4
Source: Alexandria via LeMat-Bulk
Functional: PBE
Structure: relaxed

Cell: 4.987 4.987 4.987 Å, 90.00 90.00 90.00°
Sites, in units of the cell vectors:
Tb 0.000 0.000 0.000
Pt 0.000 0.000 0.500
Pt 0.000 0.500 0.000
Pt 0.500 0.000 0.000
Pt 0.500 0.500 0.500

Summary:
Volume   24.80 A^3/atom

Number 1: formation enthalpy at 0 K -0.7993 eV/atom, DOS at the Fermi energy 16.04 states/eV per cell. Number 2: formation enthalpy at 0 K 1.0655 eV/atom, DOS at the Fermi energy 12.11 states/eV per cell. Number 3: formation enthalpy at 0 K -0.3074 eV/atom, DOS at the Fermi energy 9.12 states/eV per cell. Number 4: formation enthalpy at 0 K -1.0116 eV/atom, DOS at the Fermi energy 10.50 states/eV per cell. Number 5: formation enthalpy at 0 K 0.4117 eV/atom, DOS at the Fermi energy 29.03 states/eV per cell. Number 6: formation enthalpy at 0 K -1.0247 eV/atom, DOS at the Fermi energy 32.48 states/eV per cell. Number 7: formation enthalpy at 0 K -0.6082 eV/atom, DOS at the Fermi energy 9.39 states/eV per cell. Number 8: formation enthalpy at 0 K -0.9954 eV/atom, DOS at the Fermi energy 10.74 states/eV per cell. Number 9: formation enthalpy at 0 K -1.1610 eV/atom, DOS at the Fermi energy 5.13 states/eV per cell. Number 10: formation enthalpy at 0 K -0.8604 eV/atom, DOS at the Fermi energy 11.47 states/eV per cell. Number 11: formation enthalpy at 0 K -0.4025 eV/atom, DOS at the Fermi energy 5.63 states/eV per cell. Number 12: formation enthalpy at 0 K 1.2367 eV/atom, DOS at the Fermi energy 3.58 states/eV per cell.